# 1
A plane-wave DFT calculation with PBE was carried out for an optimized crystal structure of CaMn2Si.

CIF file:
```
data_CaMn2Si
_symmetry_space_group_name_H-M 'C 1 2/m 1'
_symmetry_Int_Tables_number 12
_symmetry_space_group_name_Hall '-C 2y'
_cell_length_a 5.838
_cell_length_b 9.511
_cell_length_c 2.901
_cell_angle_alpha 90.00
_cell_angle_beta 117.69
_cell_angle_gamma 90.00
loop_
_atom_site_label
_atom_site_type_symbol
_atom_site_fract_x
_atom_site_fract_y
_atom_site_fract_z
Ca1 Ca 0.000 0.000 0.000
Mn1 Mn 0.250 0.250 0.500
Si1 Si 0.000 0.500 0.000
```

## Properties
Size of the total moment ... 14.39 μB/cell
E_tot ... -6.02 eV/atom
DOS at the Fermi energy ... 6.06 states/eV/cell
Formation energy from raw total energies ... 0.42 eV/atom



# 2
A plane-wave DFT calculation with PBE was carried out for an optimized crystal structure of CaMn2Si.

CIF file:
```
data_CaMn2Si
_symmetry_space_group_name_H-M 'I m m m'
_symmetry_Int_Tables_number 71
_symmetry_space_group_name_Hall '-I 2 2'
_cell_length_a 3.113
_cell_length_b 4.952
_cell_length_c 9.459
_cell_angle_alpha 90.00
_cell_angle_beta 90.00
_cell_angle_gamma 90.00
loop_
_atom_site_label
_atom_site_type_symbol
_atom_site_fract_x
_atom_site_fract_y
_atom_site_fract_z
Ca1 Ca 0.000 0.000 0.000
Mn1 Mn 0.000 0.500 0.206
Si1 Si 0.000 0.000 0.500
```

## Properties
Size of the total moment ... 13.84 μB/cell
E_tot ... -6.18 eV/atom
DOS at the Fermi energy ... 6.56 states/eV/cell
Formation energy from raw total energies ... 0.26 eV/atom